Li4SbAu2: optimized geometry, PBE.

Summary:
ΔE to the lowest computed polymorph = 323 meV/atom
total magnetization = 0.00 μB per formula unit
E = -2.7731 eV per atom
uncorrected formation energy = -0.15 eV per atom

```
data_Li4SbAu2
_cell_length_a 5.0815
_cell_length_b 5.0815
_cell_length_c 13.2270
_cell_angle_alpha 90.00
_cell_angle_beta 90.00
_cell_angle_gamma 90.00
_symmetry_space_group_name_H-M 'I 4/m m m'
_symmetry_Int_Tables_number 139
_symmetry_space_group_name_Hall '-I 4 2'
loop_
_atom_site_label
_atom_site_type_symbol
_atom_site_fract_x
_atom_site_fract_y
_atom_site_fract_z
_atom_site_occupancy
Li1 Li 0.0000 0.0000 0.2009 1
Li2 Li 0.0000 0.5000 0.0000 1
Sb1 Sb 0.0000 0.0000 0.0000 1
Au1 Au 0.0000 0.0000 0.3937 1
```